Record 1
VASP calculation (GGA-PBE) on a relaxed structure of CsCdI2.

formation energy from raw total energies = -799.4 meV per atom
calculated volume = 61.48 A^3/atom

a = 7.4954 Å, b = 7.4954 Å, c = 10.2338 Å
α = 68.52°, β = 68.52°, γ = 90.00°
With the nearest neighbours (Å) after each atom.
Fractional coordinates of all 8 atoms:
Cs1 0.0000 0.0000 0.0000  4 I 3.85
Cs2 0.7500 0.2500 0.5000  4 I 3.85
I1 0.5338 0.1250 0.2500  2 Cd 3.12
I2 0.2162 0.6250 0.2500  2 Cd 3.12
I3 0.3750 0.4662 0.7500  2 Cd 3.12
I4 0.8750 0.7838 0.7500  2 Cd 3.12
Cd1 0.5000 0.5000 0.0000  4 I 3.12
Cd2 0.2500 0.7500 0.5000  4 I 3.12



Record 2
VASP calculation (GGA-PBE) on a relaxed structure of Cs2CdI4.

formation energy from raw total energies = -1170.8 meV per atom
energy above the lowest structure with this stoichiometry = 0.05 eV/f.u.
calculated volume = 53.58 A^3/atom

a = 8.5930 Å, b = 11.1155 Å, c = 15.7074 Å
α = 90.00°, β = 90.00°, γ = 90.00°
With the nearest neighbours (Å) after each atom.
Fractional coordinates of all 28 atoms:
Cs1 0.2500 0.4800 0.1684  7 I 3.89-4.15
Cs2 0.2500 0.6129 0.5667  8 I 3.99-4.39, 1 Cd 4.35
Cs3 0.7500 0.3871 0.4333  8 I 3.99-4.39, 1 Cd 4.35
Cs4 0.2500 0.1129 0.9333  8 I 3.99-4.39, 1 Cd 4.35
Cs5 0.2500 0.9800 0.3316  7 I 3.89-4.15
Cs6 0.7500 0.5200 0.8316  7 I 3.89-4.15
Cs7 0.7500 0.8871 0.0667  8 I 3.99-4.39, 1 Cd 4.35
Cs8 0.7500 0.0200 0.6684  7 I 3.89-4.15
I1 0.0124 0.1718 0.1514  1 Cd 2.82
I2 0.5124 0.3282 0.6514  1 Cd 2.82
I3 0.7500 0.1855 0.9049  1 Cd 2.84
I4 0.2500 0.4708 0.9144  1 Cd 2.80
I5 0.4876 0.6718 0.3486  1 Cd 2.82
I6 0.2500 0.8145 0.0951  1 Cd 2.84
I7 0.5124 0.8282 0.8486  1 Cd 2.82
I8 0.7500 0.6855 0.5951  1 Cd 2.84
I9 0.7500 0.0292 0.4144  1 Cd 2.80
I10 0.7500 0.5292 0.0856  1 Cd 2.80
I11 0.4876 0.1718 0.1514  1 Cd 2.82
I12 0.9876 0.3282 0.6514  1 Cd 2.82
I13 0.2500 0.3145 0.4049  1 Cd 2.84
I14 0.9876 0.8282 0.8486  1 Cd 2.82
I15 0.2500 0.9708 0.5856  1 Cd 2.80
I16 0.0124 0.6718 0.3486  1 Cd 2.82
Cd1 0.2500 0.7219 0.9265  4 I 2.80-2.84
Cd2 0.2500 0.2219 0.5735  4 I 2.80-2.84
Cd3 0.7500 0.2781 0.0735  4 I 2.80-2.84
Cd4 0.7500 0.7781 0.4265  4 I 2.80-2.84



In eV/cell, the electronic total energy values for the records above are, in order, -16.13, -68.07.